A plane-wave DFT calculation with PBE was carried out for crystalline Tl2InPRu at its relaxed geometry.

The value obtained for the density of states at the Fermi level is 5.42 states/eV/cell. The space group is P4/mmm (123). Its magnetization is 1.998 μB/cell. The energy relative to the elements is 0.66 eV/atom.

Cell and atoms, written as POSCAR:
```
Tl2InPRu
1.0
5.261 0.000 0.000
0.000 5.163 0.000
0.000 0.000 5.261
In Tl Ru P
1 2 1 1
direct
0.000 0.500 0.000 In
0.000 0.000 0.500 Tl
0.500 0.000 0.000 Tl
0.000 0.000 0.000 Ru
0.500 0.500 0.500 P
```